(1)
VASP calculation (PBE-GGA) on Cs2CaCu2Cl6 after structural relaxation.

Output
Total magnetization: 0.02 μB per atom
Uncorrected formation energy: -35.68 kcal/mol of atoms

Cell lengths 13.087, 7.531, 7.903 Å; angles 90.00, 120.94, 90.00 degrees
Space group C2/m (No. 12)
Inequivalent atoms, fractional coordinates:
Cs (0.228, 0.000, 0.207) x4
Ca (0.000, 0.000, 0.500) x2
Cu (0.062, 0.500, 0.223) x4
Cl (0.027, 0.246, 0.776) x8
Cl (0.244, 0.000, 0.688) x4

=====

(2)
VASP calculation (PBE-GGA) on Tm4Al3Hg after structural relaxation.

Output
Energy above the lowest structure with this stoichiometry: 17.3 meV per atom
Total magnetization: 0.01 μB per atom
DFT formation energy: -387.7 meV/atom

Cell lengths 3.659, 4.519, 11.549 Å; angles 90.00, 90.00, 90.00 degrees
Space group Pmm2 (No. 25)
Inequivalent atoms, fractional coordinates:
Tm (0.000, 0.000, 0.000) x1
Tm (0.000, 0.500, 0.309) x1
Tm (0.500, 0.000, 0.493) x1
Tm (0.500, 0.500, 0.809) x1
Al (0.000, 0.500, 0.579) x1
Al (0.500, 0.000, 0.222) x1
Al (0.500, 0.500, 0.084) x1
Hg (0.000, 0.000, 0.726) x1

=====

(3)
VASP calculation (PBE-GGA) on Np2NbSi4Pt3 after structural relaxation.

Output
Total magnetization: 0.81 μB per atom
Uncorrected formation energy: -15.17 kcal/mol of atoms

Cell lengths 4.207, 4.207, 10.141 Å; angles 90.00, 90.00, 90.00 degrees
Space group P-4m2 (No. 115)
Inequivalent atoms, fractional coordinates:
Np (0.000, 0.500, 0.244) x2
Nb (0.000, 0.000, 0.500) x1
Si (0.000, 0.000, 0.000) x1
Si (0.000, 0.500, 0.645) x2
Si (0.500, 0.500, 0.000) x1
Pt (0.000, 0.500, 0.882) x2
Pt (0.500, 0.500, 0.500) x1

=====

(4)
VASP calculation (PBE-GGA) on Si2PAuC after structural relaxation.

Output
Energy above the lowest structure with this stoichiometry: 11.9 meV per atom
Total magnetization: 0.00 μB per atom
Uncorrected formation energy: 4.95 kcal/mol of atoms

Cell lengths 3.293, 4.848, 5.522 Å; angles 90.55, 99.56, 105.30 degrees
Space group P1 (No. 1)
Inequivalent atoms, fractional coordinates:
Si (0.000, 0.000, 0.000) x1
Si (0.279, 0.470, 0.195) x1
P (0.435, 0.013, 0.721) x1
Au (0.477, 0.512, 0.646) x1
C (0.811, 0.628, 0.095) x1

=====

(5)
VASP calculation (PBE-GGA) on Li2HfPbS4 after structural relaxation.

Output
Total magnetization: 0.00 μB per atom
Uncorrected formation energy: -27.31 kcal/mol of atoms

Cell lengths 6.558, 3.810, 7.021 Å; angles 90.00, 110.94, 90.00 degrees
Space group P2/m (No. 10)
Inequivalent atoms, fractional coordinates:
Li (0.000, 0.000, 0.000) x1
Li (0.000, 0.500, 0.500) x1
Hf (0.500, 0.000, 0.500) x1
Pb (0.500, 0.500, 0.000) x1
S (0.249, 0.000, 0.703) x2
S (0.257, 0.500, 0.274) x2

=====

(6)
VASP calculation (PBE-GGA) on GaNi3C after structural relaxation.

Output
Energy above the lowest structure with this stoichiometry: 0.0 meV per atom
Total magnetization: 0.00 μB per atom
DFT formation energy: -73.5 meV/atom

Cell lengths 3.777, 3.777, 3.777 Å; angles 90.00, 90.00, 90.00 degrees
Space group Pm-3m (No. 221)
Inequivalent atoms, fractional coordinates:
Ga (0.000, 0.000, 0.000) x1
Ni (0.000, 0.500, 0.500) x3
C (0.500, 0.500, 0.500) x1

=====

(7)
VASP calculation (PBE-GGA) on CrRu2Br after structural relaxation.

Output
Energy above the lowest structure with this stoichiometry: 406.7 meV per atom
Total magnetization: 0.54 μB per atom
Uncorrected formation energy: 21.27 kcal/mol of atoms

Cell lengths 3.875, 3.875, 8.084 Å; angles 90.00, 90.00, 90.00 degrees
Space group I-4m2 (No. 119)
Inequivalent atoms, fractional coordinates:
Cr (0.000, 0.000, 0.000) x2
Ru (0.000, 0.000, 0.500) x2
Ru (0.000, 0.500, 0.750) x2
Br (0.000, 0.500, 0.250) x2

=====

(8)
VASP calculation (PBE-GGA) on CdAg2HgF after structural relaxation.

Output
Total magnetization: 0.00 μB per atom
Uncorrected formation energy: 6.13 kcal/mol of atoms

Cell lengths 5.296, 5.296, 5.462 Å; angles 90.00, 90.00, 90.00 degrees
Space group P4/mmm (No. 123)
Inequivalent atoms, fractional coordinates:
Cd (0.000, 0.000, 0.000) x1
Ag (0.000, 0.500, 0.000) x2
Hg (0.000, 0.000, 0.500) x1
F (0.500, 0.500, 0.500) x1

=====

total magnetization of number 5 (Li2HfPbS4)? 0.00 μB per atom

=====

Please write out number 2 again, unchanged.
VASP calculation (PBE-GGA) on Tm4Al3Hg after structural relaxation.

Output
Energy above the lowest structure with this stoichiometry: 17.3 meV per atom
Total magnetization: 0.01 μB per atom
DFT formation energy: -387.7 meV/atom

Cell lengths 3.659, 4.519, 11.549 Å; angles 90.00, 90.00, 90.00 degrees
Space group Pmm2 (No. 25)
Inequivalent atoms, fractional coordinates:
Tm (0.000, 0.000, 0.000) x1
Tm (0.000, 0.500, 0.309) x1
Tm (0.500, 0.000, 0.493) x1
Tm (0.500, 0.500, 0.809) x1
Al (0.000, 0.500, 0.579) x1
Al (0.500, 0.000, 0.222) x1
Al (0.500, 0.500, 0.084) x1
Hg (0.000, 0.000, 0.726) x1

=====

Look up the total magnetization of the third one. 0.81 μB per atom